Compound: CoHgSbSe2
Source: Alexandria via LeMat-Bulk
Functional: GGA-PBE
Structure: optimized geometry

a b c (Å): 5.4191 5.3655 5.4191
angles (deg): 90.00 90.00 90.00
Site moments in Bohr magnetons follow the coordinates.
Sites, in units of the cell vectors:
Sb (0.0000, 0.0000, 0.0000)  0.00
Co (0.5000, 0.5000, 0.5000)  2.25
Hg (0.0000, 0.5000, 0.0000)  0.00
Se (0.0000, 0.0000, 0.5000)  0.06
Se (0.5000, 0.0000, 0.0000)  0.06

Calculated values
Total magnetic moment = 2.54 μB/cell
ρ = 5682 kg/m³
Space group = P4/mmm, No. 123
Formation energy from raw total energies = 0.9491 eV per atom